[1]
Computed, not measured: Al3Ir2Rh after structural relaxation at the PBE level of DFT.

a b c (Å): 3.0059 3.0059 9.0738
angles (deg): 90.00 90.00 90.00
Fractional positions:
Rh 0.5000 0.5000 0.5000
Ir 0.5000 0.5000 0.1674
Ir 0.5000 0.5000 0.8326
Al 0.0000 0.0000 0.3361
Al 0.0000 0.0000 0.0000
Al 0.0000 0.0000 0.6639

Properties
* calculated density: 11.51 g cm⁻³
* density of states at the Fermi level: 1.4 states/eV/f.u.
* volume: 82 Å³/cell
* magnetic moment: 0.0 μB/cell
* formation enthalpy at 0 K: -1.00 eV/atom
* E_tot: -42.273 eV per cell
* symmetry: P4/mmm (123)


[2]
Computed, not measured: Pu2HS after structural relaxation at the PBE level of DFT.

a b c (Å): 3.4567 4.6195 4.6195
angles (deg): 90.00 90.00 90.00
Site moments in Bohr magnetons follow the coordinates.
Fractional positions:
Pu 0.0000 0.5000 0.0000  5.92
Pu 0.0000 0.0000 0.5000  5.92
S 0.5000 0.5000 0.5000  -0.12
H 0.5000 0.0000 0.0000  -0.04

Properties
* calculated density: 11.73 g cm⁻³
* density of states at the Fermi level: 9.6 states/eV/f.u.
* volume: 74 Å³/cell
* E above lowest polymorph: 0.90 eV per formula unit
* magnetic moment: 12.7 μB/cell
* E_tot: -38.764 eV per cell
* symmetry: P4/mmm (123)


[3]
Computed, not measured: Mn2CoCuH after structural relaxation at the PBE level of DFT.

a b c (Å): 3.6890 3.6890 3.6046
angles (deg): 90.00 90.00 90.00
Site moments in Bohr magnetons follow the coordinates.
Fractional positions:
Cu 0.0000 0.0000 0.5000  0.11
Mn 0.5000 0.0000 0.0000  2.36
Mn 0.0000 0.5000 0.0000  2.36
H 0.0000 0.0000 0.0000  -0.02
Co 0.5000 0.5000 0.5000  1.11

Properties
* calculated density: 7.90 g cm⁻³
* density of states at the Fermi level: 4.5 states/eV/f.u.
* volume: 49 Å³/cell
* E above lowest polymorph: 0.41 eV per formula unit
* magnetic moment: 5.9 μB/cell
* E_tot: -32.069 eV per cell
* symmetry: P4/mmm (123)


[4]
Computed, not measured: Y8TlZn2 after structural relaxation at the PBE level of DFT.

a b c (Å): 5.4455 8.2510 8.2510
angles (deg): 115.10 99.46 99.46
Fractional positions:
Y 0.1002 0.0837 0.3304
Y 0.1002 0.3304 0.0837
Y 0.5000 0.7670 0.2330
Y 0.8998 0.9163 0.6696
Y 0.8998 0.6696 0.9163
Y 0.6970 0.3941 0.3941
Y 0.3030 0.6059 0.6059
Y 0.5000 0.2330 0.7670
Zn 0.0000 0.3070 0.6930
Zn 0.0000 0.6930 0.3070
Tl 0.5000 0.0000 0.0000

Properties
* calculated density: 5.44 g cm⁻³
* density of states at the Fermi level: 17.9 states/eV/f.u.
* volume: 320 Å³/cell
* E above lowest polymorph: 1.12 eV per formula unit
* magnetic moment: 0.6 μB/cell
* formation enthalpy at 0 K: -0.09 eV/atom
* E_tot: -57.658 eV per cell
* symmetry: C2/m (12)


[5]
Computed, not measured: Dy4ErCu4 after structural relaxation at the PBE level of DFT.

a b c (Å): 5.8973 8.5748 8.5748
angles (deg): 90.00 90.00 90.00
Fractional positions:
Cu 0.6237 0.2285 0.6287
Cu 0.8763 0.2715 0.8713
Cu 0.3763 0.6287 0.7715
Cu 0.6237 0.7715 0.3713
Cu 0.3763 0.3713 0.2285
Cu 0.1237 0.8713 0.7285
Cu 0.1237 0.1287 0.2715
Cu 0.8763 0.7285 0.1287
Dy 0.4006 0.6968 0.0863
Dy 0.0994 0.1968 0.5863
Dy 0.5994 0.0863 0.3032
Dy 0.9006 0.5863 0.8032
Dy 0.5994 0.9137 0.6968
Dy 0.9006 0.4137 0.1968
Dy 0.4006 0.3032 0.9137
Dy 0.0994 0.8032 0.4137
Er 0.5000 0.5000 0.5000
Er 0.0000 0.0000 0.0000

Properties
* calculated density: 8.21 g cm⁻³
* density of states at the Fermi level: 11.3 states/eV/f.u.
* volume: 434 Å³/cell
* magnetic moment: 0.0 μB/cell
* formation enthalpy at 0 K: -0.04 eV/atom
* E_tot: -79.426 eV per cell
* symmetry: P4_2/n (86)


[6]
Computed, not measured: SrP2PtO8 after structural relaxation at the PBE level of DFT.

a b c (Å): 4.9152 4.9152 8.2530
angles (deg): 72.68 72.68 60.00
Fractional positions:
O 0.6892 0.6892 0.9324
O 0.1031 0.7102 0.6752
O 0.2898 0.8969 0.3248
O 0.5115 0.1031 0.6752
O 0.4885 0.2898 0.3248
O 0.8969 0.4885 0.3248
O 0.7102 0.5115 0.6752
O 0.3108 0.3108 0.0676
P 0.7551 0.7551 0.7347
P 0.2449 0.2449 0.2653
Sr 0.0000 0.0000 0.0000
Pt 0.5000 0.5000 0.5000

Properties
* calculated density: 4.84 g cm⁻³
* density of states at the Fermi level: 0.0 states/eV/f.u.
* volume: 162 Å³/cell
* magnetic moment: 0.0 μB/cell
* E_tot: -80.196 eV per cell
* formation energy without anion corrections: -1832 meV/atom
* symmetry: R32 (155)


Please write out number 1 again, unchanged.
Computed, not measured: Al3Ir2Rh after structural relaxation at the PBE level of DFT.

a b c (Å): 3.0059 3.0059 9.0738
angles (deg): 90.00 90.00 90.00
Fractional positions:
Rh 0.5000 0.5000 0.5000
Ir 0.5000 0.5000 0.1674
Ir 0.5000 0.5000 0.8326
Al 0.0000 0.0000 0.3361
Al 0.0000 0.0000 0.0000
Al 0.0000 0.0000 0.6639

Properties
* calculated density: 11.51 g cm⁻³
* density of states at the Fermi level: 1.4 states/eV/f.u.
* volume: 82 Å³/cell
* magnetic moment: 0.0 μB/cell
* formation enthalpy at 0 K: -1.00 eV/atom
* E_tot: -42.273 eV per cell
* symmetry: P4/mmm (123)


Please write out number 4 again, unchanged.
Computed, not measured: Y8TlZn2 after structural relaxation at the PBE level of DFT.

a b c (Å): 5.4455 8.2510 8.2510
angles (deg): 115.10 99.46 99.46
Fractional positions:
Y 0.1002 0.0837 0.3304
Y 0.1002 0.3304 0.0837
Y 0.5000 0.7670 0.2330
Y 0.8998 0.9163 0.6696
Y 0.8998 0.6696 0.9163
Y 0.6970 0.3941 0.3941
Y 0.3030 0.6059 0.6059
Y 0.5000 0.2330 0.7670
Zn 0.0000 0.3070 0.6930
Zn 0.0000 0.6930 0.3070
Tl 0.5000 0.0000 0.0000

Properties
* calculated density: 5.44 g cm⁻³
* density of states at the Fermi level: 17.9 states/eV/f.u.
* volume: 320 Å³/cell
* E above lowest polymorph: 1.12 eV per formula unit
* magnetic moment: 0.6 μB/cell
* formation enthalpy at 0 K: -0.09 eV/atom
* E_tot: -57.658 eV per cell
* symmetry: C2/m (12)